(1)
# Pm12Cr3H5 (GGA-PBE, optimized geometry)
# total energy: -101.72 eV/f.u.
# mass density: 6.46 Mg/m³
data_Pm12Cr3H5
_space_group_name_H-M_alt 'I a -3 d'
_space_group_IT_number 230
_space_group_name_Hall '-I 4bd 2c 3'
_cell_length_a 15.7524
_cell_length_b 15.7524
_cell_length_c 15.7524
_cell_angle_alpha 90.00
_cell_angle_beta 90.00
_cell_angle_gamma 90.00
loop_
_atom_site_label
_atom_site_type_symbol
_atom_site_fract_x
_atom_site_fract_y
_atom_site_fract_z
_atom_site_occupancy
Pm1 Pm 0.0370 0.0574 0.6529 1
Cr1 Cr 0.0000 0.2500 0.1250 1
H1 H 0.0000 0.0000 0.0000 1
H2 H 0.0000 0.2500 0.3750 1

(2)
# Co2MoRu (GGA-PBE, optimized geometry)
# energy above the most stable polymorph in this dataset: 80 meV/atom
# energy of formation from the pure elements: 0.09 eV per atom
# total energy: -33.96 eV/f.u.
# mass density: 10.36 Mg/m³
data_Co2MoRu
_space_group_name_H-M_alt 'P m m m'
_space_group_IT_number 47
_cell_length_a 2.6168
_cell_length_b 3.6916
_cell_length_c 5.2251
_cell_angle_alpha 90.00
_cell_angle_beta 90.00
_cell_angle_gamma 90.00
loop_
_space_group_symop_operation_xyz
'x,y,z'
'-x,-y,-z'
'-x,-y,z'
'x,y,-z'
'x,-y,-z'
'-x,y,z'
'-x,y,-z'
'x,-y,z'
loop_
_atom_site_label
_atom_site_type_symbol
_atom_site_fract_x
_atom_site_fract_y
_atom_site_fract_z
_atom_site_occupancy
Co1 Co 0.0000 0.0000 0.2402 1
Mo1 Mo 0.5000 0.5000 0.5000 1
Ru1 Ru 0.5000 0.5000 0.0000 1

(3)
# CsNdSi2O6 (GGA-PBE, optimized geometry)
# total energy: -74.14 eV/f.u.
# E_form (uncorrected): -2792 meV/atom
# mass density: 4.67 Mg/m³
data_CsNdSi2O6
_space_group_name_H-M_alt 'C 1 2/c 1'
_space_group_IT_number 15
_cell_length_a 10.6961
_cell_length_b 10.4260
_cell_length_c 5.5655
_cell_angle_alpha 90.00
_cell_angle_beta 100.06
_cell_angle_gamma 90.00
loop_
_space_group_symop_operation_xyz
'x,y,z'
'-x,-y,-z'
'-x,y,-z+1/2'
'x,-y,z+1/2'
'x+1/2,y+1/2,z'
'-x+1/2,-y+1/2,-z'
'-x+1/2,y+1/2,-z+1/2'
'x+1/2,-y+1/2,z+1/2'
loop_
_atom_site_label
_atom_site_type_symbol
_atom_site_fract_x
_atom_site_fract_y
_atom_site_fract_z
_atom_site_occupancy
Cs1 Cs 0.0000 0.1756 0.2500 1
Nd1 Nd 0.0000 0.3766 0.7500 1
Si1 Si 0.2259 0.0783 0.8047 1
O1 O 0.1186 0.4338 0.1391 1
O2 O 0.1547 0.2155 0.7633 1
O3 O 0.1777 0.0058 0.0444 1

(4)
# CuIr2Os (GGA-PBE, optimized geometry)
# energy above the most stable polymorph in this dataset: 179 meV/atom
# energy of formation from the pure elements: 0.22 eV per atom
# total energy: -32.16 eV/f.u.
# mass density: 18.85 Mg/m³
data_CuIr2Os
_space_group_name_H-M_alt 'P 1 m 1'
_space_group_IT_number 6
_cell_length_a 2.7109
_cell_length_b 4.1030
_cell_length_c 5.2289
_cell_angle_alpha 90.00
_cell_angle_beta 104.82
_cell_angle_gamma 90.00
loop_
_space_group_symop_operation_xyz
'x,y,z'
'x,-y,z'
loop_
_atom_site_label
_atom_site_type_symbol
_atom_site_fract_x
_atom_site_fract_y
_atom_site_fract_z
_atom_site_occupancy
Cu1 Cu 0.0000 0.0000 0.0000 1
Ir1 Ir 0.2448 0.0000 0.5059 1
Ir2 Ir 0.5884 0.5000 0.1906 1
Os1 Os 0.8481 0.5000 0.7132 1

Q: Which of these has the highest total energy?
A: CuIr2Os

Q: Which of these has the highest mass density?
A: CuIr2Os

Q: Which value of mass density does entry 2 give?
A: 10.36 Mg/m³